LiTlP2O, relaxed, DFT PBE; crystal system = tetragonal; symmetry = P4/mmm, No. 123; E = -3.267 eV per atom; E_form (uncorrected) = 0.744 eV per atom
1.0
5.254 0.000 0.000
0.000 5.254 0.000
0.000 0.000 4.330
Li P O Tl
1 2 1 1
Direct
0.500 0.500 0.500 Li
0.500 0.000 0.000 P
0.000 0.500 0.000 P
0.000 0.000 0.500 O
0.000 0.000 0.000 Tl



LiTl2PO4, relaxed, DFT PBE; crystal system = orthorhombic; symmetry = Fddd, No. 70; E = -5.691 eV per atom; E_form (uncorrected) = -1.705 eV per atom
1.0
4.836 0.000 0.000
2.418 5.580 0.000
2.418 0.000 10.234
O Tl P Li
8 4 2 2
Direct
0.267 0.162 0.915 O
0.483 0.338 0.585 O
0.932 0.662 0.585 O
0.344 0.838 0.085 O
0.406 0.662 0.415 O
0.179 0.338 0.415 O
0.818 0.838 0.915 O
0.571 0.162 0.085 O
0.826 0.000 0.348 Tl
0.174 0.000 0.652 Tl
0.576 0.500 0.848 Tl
0.924 0.500 0.152 Tl
0.500 0.000 0.000 P
0.250 0.500 0.500 P
0.000 0.000 0.000 Li
0.750 0.500 0.500 Li



LiTlPO2, relaxed, DFT PBE; crystal system = tetragonal; symmetry = P4/mmm, No. 123; E = -3.589 eV per atom; E_form (uncorrected) = 0.333 eV per atom
1.0
-1.890 3.677 -1.299
-2.724 -2.278 -2.483
-3.388 -0.323 4.013
O Li Tl P
2 1 1 1
Direct
0.500 0.000 0.000 O
0.000 0.500 0.000 O
0.500 0.500 0.500 Li
0.000 0.000 0.000 Tl
0.000 0.000 0.500 P



LiTlPO2, relaxed, DFT PBE; crystal system = tetragonal; symmetry = P4/mmm, No. 123; E = -3.734 eV per atom; E_form (uncorrected) = 0.187 eV per atom
1.0
-2.499 -2.955 -0.216
0.398 -0.615 3.806
-3.601 2.983 0.859
P O Tl Li
1 2 1 1
Direct
0.000 0.000 0.500 P
0.000 0.500 0.000 O
0.500 0.000 0.000 O
0.500 0.500 0.500 Tl
0.000 0.000 0.000 Li



LiTlP2O, relaxed, DFT PBE; crystal system = tetragonal; symmetry = P4/mmm, No. 123; E = -3.575 eV per atom; E_form (uncorrected) = 0.437 eV per atom
1.0
4.947 0.000 0.000
0.000 4.947 0.000
0.000 0.000 3.427
Li O Tl P
1 1 1 2
Direct
0.000 0.000 0.000 Li
0.000 0.000 0.500 O
0.500 0.500 0.500 Tl
0.500 0.000 0.000 P
0.000 0.500 0.000 P



LiTm2PO6, relaxed, DFT PBE; crystal system = tetragonal; symmetry = P4mm, No. 99; E = -7.350 eV per atom; E_form (uncorrected) = -2.748 eV per atom
1.0
-3.139 2.651 1.740
-2.921 -3.961 0.765
1.999 -0.600 4.522
O P Tm Li
6 1 2 1
Direct
0.709 0.227 0.773 O
0.709 0.227 0.227 O
0.147 0.500 0.500 O
0.250 0.000 0.000 O
0.709 0.773 0.227 O
0.709 0.773 0.773 O
0.610 0.000 0.000 P
0.015 0.500 0.000 Tm
0.015 0.000 0.500 Tm
0.576 0.500 0.500 Li